Run a
The following is a DFT calculation (PBE) of a relaxed Ta2RuCl crystal.

## Properties
- D(E_F): 2.96 states/eV per cell

a = 4.1258 Å, b = 4.1258 Å, c = 8.1475 Å
α = 64.99°, β = 64.99°, γ = 41.15°
Fractional positions:
Ru 0.2500 0.2500 0.2500
Cl 0.7500 0.7500 0.7500
Ta 0.4258 0.4258 0.4404
Ta 0.0742 0.0742 0.0596

=====

Run b
The following is a DFT calculation (PBE) of a relaxed Ta2RuCl crystal.

## Properties
- D(E_F): 4.85 states/eV per cell

a = 4.5346 Å, b = 4.5346 Å, c = 4.5346 Å
α = 60.00°, β = 60.00°, γ = 60.00°
Fractional positions:
Ta 0.7500 0.7500 0.7500
Cl 0.0000 0.0000 0.0000
Ru 0.5000 0.5000 0.5000
Ta 0.2500 0.2500 0.2500

=====

Run c
The following is a DFT calculation (PBE) of a relaxed Ta2RuCl crystal.

## Properties
- D(E_F): 3.69 states/eV per cell

a = 5.5755 Å, b = 5.5755 Å, c = 5.5755 Å
α = 141.37°, β = 141.37°, γ = 55.78°
Fractional positions:
Cl 0.5000 0.5000 0.0000
Ta 0.2500 0.7500 0.5000
Ta 0.0000 0.0000 0.0000
Ru 0.7500 0.2500 0.5000

=====

Order from most stable to least stable according to the calculation: run a, run b, run c

=====

Run a
The following is a DFT calculation (PBE) of a relaxed Ta2RuCl crystal.

## Properties
- D(E_F): 4.43 states/eV per cell

a = 4.5809 Å, b = 4.5809 Å, c = 4.5809 Å
α = 60.00°, β = 60.00°, γ = 60.00°
Fractional positions:
Cl 0.5000 0.5000 0.5000
Ta 0.7500 0.7500 0.7500
Ta 0.0000 0.0000 0.0000
Ru 0.2500 0.2500 0.2500

=====

Run b
The following is a DFT calculation (PBE) of a relaxed Ta2RuCl crystal.

## Properties
- D(E_F): 3.29 states/eV per cell

a = 2.9542 Å, b = 6.1941 Å, c = 5.1483 Å
α = 46.17°, β = 90.00°, γ = 90.00°
Fractional positions:
Cl 0.5000 0.5000 0.5000
Ru 0.0000 0.0000 0.5000
Ta 0.5000 0.5000 0.0000
Ta 0.0000 0.0000 0.0000

=====

Order from most stable to least stable according to the calculation: run b, run a

=====

Run a
The following is a DFT calculation (PBE) of a relaxed Ta2RuCl crystal.

## Properties
- D(E_F): 7.02 states/eV per cell

a = 6.7267 Å, b = 6.7267 Å, c = 5.6936 Å
α = 53.79°, β = 53.79°, γ = 90.00°
Fractional positions:
Cl 0.5000 0.5000 0.0000
Ru 0.0000 0.0000 0.0000
Ta 0.8750 0.8599 0.7500
Ta 0.6099 0.1250 0.2500
Cl 0.2500 0.7500 0.5000
Ta 0.1401 0.6250 0.2500
Ta 0.3750 0.3901 0.7500
Ru 0.7500 0.2500 0.5000

=====

Run b
The following is a DFT calculation (PBE) of a relaxed Ta2RuCl crystal.

## Properties
- D(E_F): 3.02 states/eV per cell

a = 4.2867 Å, b = 2.9488 Å, c = 5.4330 Å
α = 74.29°, β = 90.00°, γ = 90.00°
Fractional positions:
Ru 0.5000 0.5490 0.7728
Ta 0.0000 0.9434 0.9867
Cl 0.0000 0.6984 0.4761
Ta 0.5000 0.3092 0.2644

=====

Order from most stable to least stable according to the calculation: run b, run a

=====

Run a
The following is a DFT calculation (PBE) of a relaxed TaRu2Cl crystal.

## Properties
- D(E_F): 3.40 states/eV per cell

a = 3.0379 Å, b = 4.5366 Å, c = 4.5366 Å
α = 90.00°, β = 90.00°, γ = 90.00°
Fractional positions:
Ru 0.0000 0.0000 0.0000
Ru 0.0000 0.5000 0.5000
Ta 0.5000 0.5000 0.0000
Cl 0.5000 0.0000 0.5000

=====

Run b
The following is a DFT calculation (PBE) of a relaxed TaRu2Cl crystal.

## Properties
- D(E_F): 3.01 states/eV per cell

a = 5.0163 Å, b = 5.0163 Å, c = 4.4531 Å
α = 88.83°, β = 88.83°, γ = 33.75°
Fractional positions:
Ta 0.7500 0.7500 0.7500
Ru 0.0286 0.0286 0.9852
Ru 0.4714 0.4714 0.5148
Cl 0.2500 0.2500 0.2500

=====

Order from most stable to least stable according to the calculation: run b, run a

=====

Run a
The following is a DFT calculation (PBE) of a relaxed TaRu2Cl crystal.

## Properties
- D(E_F): 3.17 states/eV per cell

a = 4.0470 Å, b = 2.9388 Å, c = 5.3679 Å
α = 72.29°, β = 90.00°, γ = 90.00°
Fractional positions:
Ru 0.0000 0.8708 0.9890
Ru 0.0000 0.6292 0.5110
Ta 0.5000 0.2500 0.2500
Cl 0.5000 0.7500 0.7500

=====

Run b
The following is a DFT calculation (PBE) of a relaxed TaRu2Cl crystal.

## Properties
- D(E_F): 4.52 states/eV per cell

a = 2.8491 Å, b = 2.8491 Å, c = 8.9780 Å
α = 90.00°, β = 90.00°, γ = 90.00°
Fractional positions:
Cl 0.5000 0.5000 0.6732
Ru 0.0000 0.0000 0.0766
Ta 0.0000 0.0000 0.4860
Ru 0.5000 0.5000 0.2641

=====

Order from most stable to least stable according to the calculation: run b, run a

=====

Run a
The following is a DFT calculation (PBE) of a relaxed TaRu2Cl crystal.

## Properties
- D(E_F): 2.48 states/eV per cell

a = 5.2326 Å, b = 5.2326 Å, c = 4.2664 Å
α = 88.41°, β = 88.41°, γ = 33.46°
Fractional positions:
Ru 0.0367 0.0367 0.9547
Ru 0.7625 0.7625 0.7889
Ta 0.4580 0.4580 0.5120
Cl 0.2428 0.2428 0.2444

=====

Run b
The following is a DFT calculation (PBE) of a relaxed TaRu2Cl crystal.

## Properties
- D(E_F): 2.48 states/eV per cell

a = 9.1755 Å, b = 9.1755 Å, c = 9.1755 Å
α = 18.08°, β = 18.08°, γ = 18.08°
Fractional positions:
Ru 0.9911 0.9911 0.9911
Ta 0.4972 0.4972 0.4972
Cl 0.7604 0.7604 0.7604
Ru 0.2513 0.2513 0.2513

=====

Order from most stable to least stable according to the calculation: run b, run a

=====

Run a
The following is a DFT calculation (PBE) of a relaxed TaRu2Cl crystal.

## Properties
- D(E_F): 4.54 states/eV per cell

a = 2.8944 Å, b = 2.8944 Å, c = 8.9623 Å
α = 90.00°, β = 90.00°, γ = 119.95°
Last column: magnetic moment on the atom in μB.
Fractional positions:
Ta 0.0000 0.0000 0.5024  0.01
Ru 0.5000 0.5000 0.2489  0.20
Ru 0.0000 0.0000 0.0096  0.77
Cl 0.5000 0.5000 0.7391  0.01

=====

Run b
The following is a DFT calculation (PBE) of a relaxed TaRu2Cl crystal.

## Properties
- D(E_F): 3.70 states/eV per cell

a = 2.9679 Å, b = 2.9679 Å, c = 8.2919 Å
α = 90.00°, β = 90.00°, γ = 115.09°
Fractional positions:
Ru 0.0000 0.0000 0.0107
Cl 0.5000 0.5000 0.7500
Ru 0.0000 0.0000 0.4893
Ta 0.5000 0.5000 0.2500

=====

Order from most stable to least stable according to the calculation: run b, run a

=====

Run a
The following is a DFT calculation (PBE) of a relaxed TaRu2Cl crystal.

## Properties
- D(E_F): 4.04 states/eV per cell

a = 5.4553 Å, b = 5.4553 Å, c = 6.8047 Å
α = 66.37°, β = 66.37°, γ = 90.00°
Fractional positions:
Ru 0.8750 0.8467 0.7500
Ru 0.3750 0.4033 0.7500
Ta 0.7500 0.2500 0.5000
Cl 0.5000 0.5000 0.0000
Cl 0.2500 0.7500 0.5000
Ta 0.0000 0.0000 0.0000
Ru 0.1533 0.6250 0.2500
Ru 0.5967 0.1250 0.2500

=====

Run b
The following is a DFT calculation (PBE) of a relaxed TaRu2Cl crystal.

## Properties
- D(E_F): 3.73 states/eV per cell

a = 4.4404 Å, b = 4.4404 Å, c = 4.4404 Å
α = 60.00°, β = 60.00°, γ = 60.00°
Fractional positions:
Ta 0.7500 0.7500 0.7500
Ru 0.0000 0.0000 0.0000
Cl 0.5000 0.5000 0.5000
Ru 0.2500 0.2500 0.2500

=====

Run c
The following is a DFT calculation (PBE) of a relaxed TaRu2Cl crystal.

## Properties
- D(E_F): 2.45 states/eV per cell

a = 2.9490 Å, b = 3.5728 Å, c = 7.7714 Å
α = 90.00°, β = 90.00°, γ = 90.00°
Fractional positions:
Ta 0.0000 0.0000 0.4519
Ru 0.0000 0.0000 0.1276
Ru 0.5000 0.5000 0.2488
Cl 0.5000 0.5000 0.6717

=====

Order from most stable to least stable according to the calculation: run c, run b, run a

=====

Run a
The following is a DFT calculation (PBE) of a relaxed TaRuCl2 crystal.

## Properties
- D(E_F): 2.55 states/eV per cell

a = 4.4101 Å, b = 4.4101 Å, c = 4.4101 Å
α = 109.87°, β = 109.87°, γ = 108.68°
Fractional positions:
Ru 0.5000 0.5000 0.0000
Cl 0.0000 0.0000 0.0000
Cl 0.2500 0.7500 0.5000
Ta 0.7500 0.2500 0.5000

=====

Run b
The following is a DFT calculation (PBE) of a relaxed TaRuCl2 crystal.

## Properties
- D(E_F): 3.62 states/eV per cell

a = 3.1453 Å, b = 3.1455 Å, c = 6.1377 Å
α = 90.00°, β = 90.00°, γ = 90.00°
Last column: magnetic moment on the atom in μB.
Fractional positions:
Cl 0.0000 0.0000 0.9890  0.02
Cl 0.0000 0.0000 0.5110  0.02
Ta 0.5000 0.5000 0.7500  -0.10
Ru 0.5000 0.5000 0.2500  0.84

=====

Order from most stable to least stable according to the calculation: run a, run b

=====

Run a
The following is a DFT calculation (PBE) of a relaxed TaRuCl2 crystal.

## Properties
- D(E_F): 3.69 states/eV per cell

a = 8.8596 Å, b = 8.8596 Å, c = 8.8596 Å
α = 21.76°, β = 21.76°, γ = 21.76°
Fractional positions:
Ta 0.7607 0.7607 0.7607
Ru 0.4883 0.4883 0.4883
Cl 0.2286 0.2286 0.2286
Cl 0.0224 0.0224 0.0224

=====

Run b
The following is a DFT calculation (PBE) of a relaxed TaRuCl2 crystal.

## Properties
- D(E_F): 2.23 states/eV per cell

a = 7.7879 Å, b = 7.7879 Å, c = 7.7879 Å
α = 156.99°, β = 148.41°, γ = 39.44°
Last column: magnetic moment on the atom in μB.
Fractional positions:
Ta 0.7500 0.2500 0.5000  -0.05
Ru 0.2500 0.7500 0.5000  0.49
Cl 0.6104 0.6104 0.0000  0.01
Cl 0.8896 0.8896 0.0000  0.01

=====

Order from most stable to least stable according to the calculation: run a, run b

=====

Run a
The following is a DFT calculation (PBE) of a relaxed TaRuCl2 crystal.

## Properties
- D(E_F): 1.81 states/eV per cell

a = 6.3504 Å, b = 6.3504 Å, c = 6.3504 Å
α = 151.21°, β = 134.24°, γ = 54.97°
Last column: magnetic moment on the atom in μB.
Fractional positions:
Cl 0.2433 0.7433 0.5000  0.04
Cl 0.9339 0.9339 0.0000  0.01
Ta 0.7390 0.2390 0.5000  -0.07
Ru 0.5839 0.5839 0.0000  0.45

=====

Run b
The following is a DFT calculation (PBE) of a relaxed TaRuCl2 crystal.

## Properties
- D(E_F): 3.55 states/eV per cell

a = 2.9118 Å, b = 5.2166 Å, c = 4.3352 Å
α = 90.00°, β = 90.00°, γ = 90.00°
Fractional positions:
Cl 0.0000 0.0000 0.0000
Ta 0.0000 0.5000 0.5000
Cl 0.5000 0.5000 0.0000
Ru 0.5000 0.0000 0.5000

=====

Run c
The following is a DFT calculation (PBE) of a relaxed TaRuCl2 crystal.

## Properties
- D(E_F): 3.91 states/eV per cell

a = 3.1343 Å, b = 3.1343 Å, c = 8.9485 Å
α = 90.00°, β = 90.00°, γ = 125.15°
Last column: magnetic moment on the atom in μB.
Fractional positions:
Cl 0.0000 0.0000 0.9811  0.02
Ru 0.5000 0.5000 0.2500  1.75
Cl 0.0000 0.0000 0.5189  0.02
Ta 0.5000 0.5000 0.7500  -0.02

=====

Order from most stable to least stable according to the calculation: run a, run b, run c

=====

Run a
The following is a DFT calculation (PBE) of a relaxed TaRuCl2 crystal.

## Properties
- D(E_F): 7.47 states/eV per cell

a = 5.6473 Å, b = 5.6473 Å, c = 6.3219 Å
α = 63.47°, β = 63.47°, γ = 90.00°
Fractional positions:
Cl 0.1336 0.6250 0.2500
Cl 0.8750 0.8664 0.7500
Cl 0.3750 0.3836 0.7500
Ta 0.7500 0.2500 0.5000
Ru 0.5000 0.5000 0.0000
Cl 0.6164 0.1250 0.2500
Ta 0.0000 0.0000 0.0000
Ru 0.2500 0.7500 0.5000

=====

Run b
The following is a DFT calculation (PBE) of a relaxed TaRuCl2 crystal.

## Properties
- D(E_F): 4.83 states/eV per cell

a = 4.3924 Å, b = 4.3924 Å, c = 4.3924 Å
α = 60.00°, β = 60.00°, γ = 60.00°
Fractional positions:
Ru 0.0000 0.0000 0.0000
Cl 0.7500 0.7500 0.7500
Ta 0.5000 0.5000 0.5000
Cl 0.2500 0.2500 0.2500

=====

Order from most stable to least stable according to the calculation: run b, run a

=====

Run a
The following is a DFT calculation (PBE) of a relaxed TaRuCl2 crystal.

## Properties
- D(E_F): 3.63 states/eV per cell

a = 8.4513 Å, b = 8.4513 Å, c = 8.4513 Å
α = 20.77°, β = 20.77°, γ = 20.77°
Fractional positions:
Cl 0.9073 0.9073 0.9073
Ta 0.5000 0.5000 0.5000
Cl 0.0927 0.0927 0.0927
Ru 0.0000 0.0000 0.0000

=====

Run b
The following is a DFT calculation (PBE) of a relaxed TaRuCl2 crystal.

## Properties
- D(E_F): 3.56 states/eV per cell

a = 4.2824 Å, b = 4.0656 Å, c = 3.9866 Å
α = 89.27°, β = 90.00°, γ = 90.00°
Fractional positions:
Cl 0.0000 0.9949 0.9942
Ta 0.5000 0.7500 0.7500
Ru 0.5000 0.2500 0.2500
Cl 0.0000 0.5051 0.5058

=====

Run c
The following is a DFT calculation (PBE) of a relaxed TaRuCl2 crystal.

## Properties
- D(E_F): 2.91 states/eV per cell

a = 2.9875 Å, b = 3.3997 Å, c = 8.6466 Å
α = 90.52°, β = 90.00°, γ = 90.00°
Fractional positions:
Ta 0.5000 0.8777 0.7071
Ru 0.0000 0.3733 0.5407
Cl 0.5000 0.3658 0.3194
Cl 0.0000 0.8832 0.9327

=====

Order from most stable to least stable according to the calculation: run c, run a, run b